1.
Entry from the Alexandria database: crystalline PmPrDy3Ho at its relaxed geometry (PBE).

Geometry as POSCAR:
```
PmPrDy3Ho
1.0
-1.976 2.177 -4.134
-0.725 -7.952 -0.727
-9.062 0.410 4.548
Pm Pr Dy Ho
2 2 6 2
Cartesian
-8.510 -6.556 0.617
-3.254 1.191 -0.930
-4.531 0.205 2.274
0.000 0.000 0.000
-6.096 -1.020 -0.735
-5.667 -4.345 0.422
-10.197 -4.140 2.695
-1.566 -1.225 -3.009
-7.374 -2.005 2.469
-4.390 -3.360 -2.783
-8.921 -3.157 -0.510
-2.842 -2.208 0.196
```

## Properties
- DOS(E_F) (states/eV/f.u.) = 8.59

---

2.
Entry from the Alexandria database: crystalline Mg2ZrPt at its relaxed geometry (PBE).

Geometry as POSCAR:
```
Mg2ZrPt
1.0
5.546 -0.001 0.000
2.610 4.893 0.000
-4.078 -2.446 2.854
Mg Pt Zr
2 1 1
Cartesian
0.000 0.000 0.000
4.078 2.446 0.000
1.305 2.447 1.427
2.773 0.000 1.427
```

## Properties
- DOS(E_F) (states/eV/f.u.) = 3.91

---

| no. | ΔH_f (0 K) (eV per atom) |
| --- | --- |
| 1 | 0.021 |
| 2 | -0.313 |